Computed, not measured: a relaxed structure of Rb2ThPbO4 at the PBE-GGA level of DFT.

It has space group P2/m (No. 10), with a = 6.521 Å, b = 3.750 Å, c = 6.965 Å, α = 90.00°, β = 108.35° and γ = 90.00°. The asymmetric unit holds Rb at (0.000, 0.000, 0.000), Rb at (0.500, 0.500, 0.000), Th at (0.000, 0.500, 0.500), Pb at (0.500, 0.000, 0.500), O at (0.200, 0.000, 0.684) and O at (0.232, 0.500, 0.313).

Its density of states at the Fermi level is 0.0 states/eV/cell. The calculation puts the total DFT energy (no corrections) at -50.0 eV/cell.

***

Computed, not measured: a relaxed structure of Rb2TiPbO4 at the PBE-GGA level of DFT.

It has space group Pmmn (No. 59, origin choice 2), with a = 6.196 Å, b = 8.155 Å, c = 6.591 Å, α = 90.00°, β = 90.00° and γ = 90.00°. The asymmetric unit holds Rb at (0.250, 0.011, 0.238), Ti at (0.250, 0.750, 0.659), Pb at (0.250, 0.250, 0.741), O at (0.006, 0.750, 0.493) and O at (0.250, 0.563, 0.809).

Its density of states at the Fermi level is 0.0 states/eV/cell. The calculation puts the total DFT energy (no corrections) at -99.6 eV/cell.

***

Computed, not measured: a relaxed structure of Rb2TlPbO4 at the PBE-GGA level of DFT.

It has space group I-4 (No. 82), with a = 6.417 Å, b = 6.417 Å, c = 8.757 Å, α = 90.00°, β = 90.00° and γ = 90.00°. The asymmetric unit holds Rb at (0.000, 0.000, 0.000), Rb at (0.000, 0.500, 0.250), Tl at (0.000, 0.000, 0.500), Pb at (0.000, 0.500, 0.750) and O at (0.163, 0.256, 0.623).

Its density of states at the Fermi level is 4.7 states/eV/cell. The calculation puts the total DFT energy (no corrections) at -72.5 eV/cell.

***

| no. | formation energy without anion corrections (eV per atom) |
| --- | --- |
| 1 | -2.141 |
| 2 | -2.055 |
| 3 | -1.052 |